VASP calculation (PBE) on an optimized crystal structure of PmThGaGe.

For the energy above the most stable polymorph in this dataset, the calculation gives 0.88 eV per formula unit. The calculation puts the volume at 24.92 Å³ per atom. The density is 8.652 g cm⁻³. For the energy of formation, the calculation gives -0.48 eV/atom.

It has space group F-43m (No. 216), with a = 7.3602 Å, b = 7.3602 Å, c = 7.3602 Å, α = 90.00°, β = 90.00° and γ = 90.00°. Symmetry generates all atoms from Pm at (0.0000, 0.0000, 0.0000), Th at (0.0000, 0.0000, 0.5000), Ga at (0.2500, 0.2500, 0.2500) and Ge at (0.2500, 0.2500, 0.7500).

=====

VASP calculation (PBE) on an optimized crystal structure of Dy6TmTh8.

The calculation puts the volume at 33.19 Å³ per atom. The density is 10.006 g cm⁻³. For the energy of formation, the calculation gives 0.24 eV/atom.

It has space group P-3 (No. 147), with a = 9.2455 Å, b = 9.2455 Å, c = 6.7256 Å, α = 90.00°, β = 90.00° and γ = 120.00°. Symmetry generates all atoms from Dy at (0.0826, 0.4302, 0.1614), Tm at (0.0000, 0.0000, 0.0000), Th at (0.0332, 0.2802, 0.6661) and Th at (0.3333, 0.6667, 0.6114).

=====

VASP calculation (PBE) on an optimized crystal structure of Mg2SnH2.

For the energy above the most stable polymorph in this dataset, the calculation gives 0.00 eV per formula unit. The calculation puts the volume at 14.42 Å³ per atom. The density is 3.900 g cm⁻³.

It has space group I4/mmm (No. 139), with a = 3.3457 Å, b = 3.3457 Å, c = 12.8837 Å, α = 90.00°, β = 90.00° and γ = 90.00°. Symmetry generates all atoms from Mg at (0.0000, 0.0000, 0.1640), Sn at (0.0000, 0.0000, 0.5000) and H at (0.0000, 0.5000, 0.2500).